(1)
{"formula": "BaSi2P2", "functional": "GGA-PBE", "state": "relaxed", "lattice": [[-0.539, -2.920, 3.483], [3.816, 1.614, 1.944], [-1.232, 2.990, 5.323]], "species": ["P", "P", "Si", "Si", "Ba"], "fractional_positions": [[0.750, 0.250, 0.500], [0.250, 0.750, 0.500], [0.319, 0.319, 0.363], [0.681, 0.681, 0.637], [0.000, 0.000, 0.000]], "e_form_raw_ev_per_fu": -1.6, "magmom_total_mub_per_atom": 0.0000}



(2)
{"formula": "Ba2SiP", "functional": "GGA-PBE", "state": "relaxed", "lattice": [[0.000, 3.980, 3.980], [3.980, 0.000, 3.980], [3.980, 3.980, 0.000]], "species": ["P", "Si", "Ba", "Ba"], "fractional_positions": [[0.500, 0.500, 0.500], [0.000, 0.000, 0.000], [0.250, 0.250, 0.250], [0.750, 0.750, 0.750]], "e_form_raw_ev_per_fu": -1.0, "de_polymorph_mev_per_atom": 364, "magmom_total_mub_per_atom": 0.0000}



(3)
{"formula": "Ba2SiP", "functional": "GGA-PBE", "state": "relaxed", "lattice": [[-5.326, -1.518, 0.861], [2.749, -3.210, 3.681], [-0.367, 2.853, 2.762]], "species": ["Ba", "Ba", "P", "Si"], "fractional_positions": [[0.000, 0.000, 0.000], [0.500, 0.500, 0.000], [0.500, 0.000, 0.500], [0.000, 0.500, 0.500]], "e_form_raw_ev_per_fu": -1.3, "de_polymorph_mev_per_atom": 308, "magmom_total_mub_per_atom": 0.0000}



(4)
{"formula": "Ba2SiP", "functional": "GGA-PBE", "state": "relaxed", "lattice": [[-3.593, 4.479, 0.887], [-1.854, -1.156, 5.384], [5.533, 0.319, -1.745]], "species": ["Ba", "Ba", "P", "Si"], "fractional_positions": [[0.000, 0.000, 0.000], [0.500, 0.500, 0.000], [0.750, 0.250, 0.500], [0.250, 0.750, 0.500]], "e_form_raw_ev_per_fu": -1.2, "de_polymorph_mev_per_atom": 327, "magmom_total_mub_per_atom": 0.0000}



(5)
{"formula": "BaSiP2", "functional": "GGA-PBE", "state": "relaxed", "lattice": [[-1.900, 1.131, -4.833], [-4.687, 0.995, -2.300], [-0.387, 5.444, -0.133]], "species": ["Ba", "P", "P", "Si"], "fractional_positions": [[0.761, 0.761, 0.737], [0.000, 0.000, 0.132], [0.205, 0.205, 0.251], [0.534, 0.534, 0.380]], "e_form_raw_ev_per_fu": -1.4, "magmom_total_mub_per_atom": 0.0000}



(6)
{"formula": "Ba2SiP", "functional": "GGA-PBE", "state": "relaxed", "lattice": [[8.809, 0.000, 0.000], [0.000, 8.809, 0.000], [4.405, 4.405, 3.538]], "species": ["P", "P", "Si", "Si", "Ba", "Ba", "Ba", "Ba"], "fractional_positions": [[0.000, 0.000, 0.000], [0.750, 0.250, 0.500], [0.500, 0.500, 0.000], [0.250, 0.750, 0.500], [0.650, 0.125, 0.250], [0.100, 0.625, 0.250], [0.375, 0.350, 0.750], [0.875, 0.900, 0.750]], "e_form_raw_ev_per_fu": -0.4, "de_polymorph_mev_per_atom": 524, "magmom_total_mub_per_atom": 0.0000}